BeZnFe after structural relaxation. Source: Alexandria, functional PBE.

Formation energy = 0.0213 eV/atom
Volume = 132.6 Å³/cell

Lattice parameters (Å, degrees): 5.6257 2.5600 9.5577 90.00 105.51 90.00
Last column: nearest neighbours and their distance in Å.
Positions (direct):
Fe 0.4114 0.5000 0.6496  4 Be 2.30, 3 Fe 2.44-2.56, 4 Zn 2.54-2.57
Fe 0.9962 0.5000 0.6823  4 Be 2.36-2.37, 3 Fe 2.44-2.56, 5 Zn 2.56-2.64
Fe 0.4114 0.0000 0.1496  4 Be 2.30, 3 Fe 2.44-2.56, 4 Zn 2.54-2.57
Fe 0.9962 0.0000 0.1823  4 Be 2.36-2.37, 3 Fe 2.44-2.56, 5 Zn 2.56-2.64
Zn 0.0804 0.5000 0.9586  4 Be 2.43-2.55, 5 Fe 2.56-2.64, 3 Zn 2.56-2.58
Zn 0.0804 0.0000 0.4586  4 Be 2.43-2.55, 5 Fe 2.56-2.64, 3 Zn 2.56-2.58
Zn 0.6441 0.0000 0.4982  5 Be 2.44-2.65, 4 Fe 2.54-2.61, 3 Zn 2.56-2.58
Zn 0.6441 0.5000 0.9982  5 Be 2.44-2.65, 4 Fe 2.54-2.61, 3 Zn 2.56-2.58
Be 0.3231 0.0000 0.8298  4 Fe 2.30-2.37, 4 Zn 2.43-2.44, 3 Be 2.45-2.56
Be 0.7315 0.0000 0.7842  4 Fe 2.30-2.36, 3 Be 2.45-2.56, 4 Zn 2.55-2.57
Be 0.7315 0.5000 0.2842  4 Fe 2.30-2.36, 3 Be 2.45-2.56, 4 Zn 2.55-2.57
Be 0.3231 0.5000 0.3298  4 Fe 2.30-2.37, 4 Zn 2.43-2.44, 3 Be 2.45-2.56